Below is an optimized crystal structure of Sm6Ho3Cd, with properties calculated at the PBE level.

## Properties
**Density of states at the Fermi level**: 1.41 states/eV/atom
**Spin magnetization**: 0.00 μB/f.u.
**Total DFT energy (no corrections)**: -4.316 eV/atom
**Relative energy among the computed polymorphs**: 0 meV per atom

Cell: 11.092 5.062 11.294 Å, 90.00 91.42 90.00°
Sites, in units of the cell vectors:
Sm: 0.047 0.250 0.395
Sm: 0.142 0.750 0.186
Sm: 0.153 0.250 0.692
Sm: 0.239 0.250 0.995
Sm: 0.347 0.750 0.799
Sm: 0.449 0.250 0.602
Sm: 0.551 0.750 0.398
Sm: 0.653 0.250 0.201
Sm: 0.761 0.750 0.005
Sm: 0.847 0.750 0.308
Sm: 0.858 0.250 0.814
Sm: 0.953 0.750 0.605
Ho: 0.248 0.750 0.492
Ho: 0.348 0.250 0.293
Ho: 0.449 0.750 0.099
Ho: 0.551 0.250 0.901
Ho: 0.652 0.750 0.707
Ho: 0.752 0.250 0.508
Cd: 0.050 0.750 0.897
Cd: 0.950 0.250 0.103

=====

Below is an optimized crystal structure of Sm2Ho3Cd, with properties calculated at the PBE level.

## Properties
**Density of states at the Fermi level**: 1.18 states/eV/atom
**Spin magnetization**: 0.00 μB/f.u.
**Total DFT energy (no corrections)**: -3.864 eV/atom

Cell: 9.339 9.339 9.339 Å, 158.91 46.45 139.11°
Sites, in units of the cell vectors:
Sm: 0.192 0.000 0.192
Sm: 0.808 0.000 0.808
Ho: 0.188 0.688 0.500
Ho: 0.363 0.495 0.868
Ho: 0.626 0.495 0.132
Cd: 0.795 0.795 0.000

=====

density of states at the Fermi level of number 2 (Sm2Ho3Cd)?
1.18 states/eV/atom